! HfBeB2, relaxed, DFT PBE; values from VASP
! * crystal system: cubic
&SYSTEM
  ibrav = 0, nat = 4, ntyp = 3
/
ATOMIC_SPECIES
Hf 178.49 Hf.upf
Be 9.01 Be.upf
B 10.81 B.upf
CELL_PARAMETERS angstrom
0.000 2.748 2.748
2.748 0.000 2.748
2.748 2.748 0.000
ATOMIC_POSITIONS angstrom
Hf 0.000 0.000 0.000
Be 4.122 4.122 4.122
B 1.374 1.374 1.374
B 2.748 2.748 2.748

***

! ZnFeNi2, relaxed, DFT PBE; values from VASP
! * crystal system: cubic
! * E_form: -19 meV per atom
&SYSTEM
  ibrav = 0, nat = 4, ntyp = 3
/
ATOMIC_SPECIES
Zn 65.41 Zn.upf
Fe 55.84 Fe.upf
Ni 58.69 Ni.upf
CELL_PARAMETERS angstrom
0.000 2.857 2.857
2.857 0.000 2.857
2.857 2.857 0.000
ATOMIC_POSITIONS angstrom
Zn 0.000 0.000 0.000
Fe 1.429 1.429 1.429
Ni 2.857 2.857 2.857
Ni 4.286 4.286 4.286

***

! KCuTe3Pd, relaxed, DFT PBE; values from VASP
! * crystal system: orthorhombic
! * energy relative to the lowest polymorph listed for this composition: 0.020 eV per atom
&SYSTEM
  ibrav = 0, nat = 12, ntyp = 4
/
ATOMIC_SPECIES
K 39.10 K.upf
Cu 63.55 Cu.upf
Te 127.60 Te.upf
Pd 106.42 Pd.upf
CELL_PARAMETERS angstrom
2.043 -7.435 0.000
2.043 7.435 0.000
0.000 0.000 11.010
ATOMIC_POSITIONS angstrom
K 2.043 3.826 8.257
K 2.043 -3.826 2.752
Cu 2.043 0.741 2.752
Cu 2.043 -0.741 8.257
Te 2.043 6.590 2.752
Te 2.043 1.765 0.364
Te 2.043 1.765 5.141
Te 2.043 -1.765 5.869
Te 2.043 -1.765 10.646
Te 2.043 -6.590 8.257
Pd 0.000 0.000 0.000
Pd 0.000 0.000 5.505

***

! USiNi, relaxed, DFT PBE; values from VASP
! * crystal system: cubic
&SYSTEM
  ibrav = 0, nat = 3, ntyp = 3
/
ATOMIC_SPECIES
U 238.03 U.upf
Si 28.09 Si.upf
Ni 58.69 Ni.upf
CELL_PARAMETERS angstrom
0.000 3.030 3.030
3.030 0.000 3.030
3.030 3.030 0.000
ATOMIC_POSITIONS angstrom
U 0.000 0.000 0.000
Si 3.030 3.030 3.030
Ni 1.515 1.515 1.515

***

! LuFeSn, relaxed, DFT PBE; values from VASP
! * crystal system: cubic
&SYSTEM
  ibrav = 0, nat = 3, ntyp = 3
/
ATOMIC_SPECIES
Lu 174.97 Lu.upf
Fe 55.84 Fe.upf
Sn 118.71 Sn.upf
CELL_PARAMETERS angstrom
0.000 3.211 3.211
3.211 0.000 3.211
3.211 3.211 0.000
ATOMIC_POSITIONS angstrom
Lu 0.000 0.000 0.000
Fe 1.605 1.605 1.605
Sn 3.211 3.211 3.211

***

! TlAg2Au2, relaxed, DFT PBE; values from VASP
! * crystal system: tetragonal
&SYSTEM
  ibrav = 0, nat = 5, ntyp = 3
/
ATOMIC_SPECIES
Tl 204.38 Tl.upf
Ag 107.87 Ag.upf
Au 196.97 Au.upf
CELL_PARAMETERS angstrom
-2.075 2.075 6.338
2.075 -2.075 6.338
2.075 2.075 -6.338
ATOMIC_POSITIONS angstrom
Tl 0.000 0.000 0.000
Ag 2.075 0.000 3.169
Ag 0.000 2.075 3.169
Au 0.000 0.000 5.013
Au 0.000 0.000 7.662

***

! TaCoNiBi, relaxed, DFT PBE; values from VASP
! * crystal system: cubic
! * energy relative to the lowest polymorph listed for this composition: 0.226 eV per atom
&SYSTEM
  ibrav = 0, nat = 4, ntyp = 4
/
ATOMIC_SPECIES
Ta 180.95 Ta.upf
Co 58.93 Co.upf
Ni 58.69 Ni.upf
Bi 208.98 Bi.upf
CELL_PARAMETERS angstrom
0.000 3.183 3.183
3.183 0.000 3.183
3.183 3.183 0.000
ATOMIC_POSITIONS angstrom
Ta 0.000 0.000 0.000
Co 4.774 4.774 4.774
Ni 3.183 3.183 3.183
Bi 1.591 1.591 1.591

***

! ErHO2, relaxed, DFT PBE; values from VASP
! * crystal system: trigonal
&SYSTEM
  ibrav = 0, nat = 4, ntyp = 3
/
ATOMIC_SPECIES
Er 167.26 Er.upf
H 1.01 H.upf
O 16.00 O.upf
CELL_PARAMETERS angstrom
3.435 0.000 0.000
-1.717 2.975 0.000
0.000 0.000 4.610
ATOMIC_POSITIONS angstrom
Er 0.000 0.000 0.000
H 1.717 0.992 2.419
O 0.000 1.983 0.901
O 1.717 0.992 3.395

***

Table of total DFT energy (no corrections) (eV per atom), in record order: -5.87, -5.20, -3.62, -7.65, -5.73, -2.84, -6.64, -7.01